Below is a relaxed ScSe2BrN crystal, with properties calculated at the PBE-GGA level.

**Crystal system**: tetragonal
**D(E_F)**: 0.502 states/eV/f.u.
**Formation energy from raw total energies**: 0.238 eV/atom
**Energy above the lowest structure with this stoichiometry**: 0.0 meV/atom

a b c (Å): 4.6035 4.6035 4.3638
angles (deg): 90.00 90.00 90.00
Last column: nearest neighbours and their distance in Å.
Space group P4/mmm (No. 123)
Inequivalent atoms, fractional coordinates:
Sc 0.0000 0.0000 0.0000 (multiplicity 1)  8 Se 3.17, 4 Br 3.26
Se 0.0000 0.5000 0.5000 (multiplicity 2)  2 N 2.30
Br 0.5000 0.5000 0.0000 (multiplicity 1)  2 N 2.18
N 0.5000 0.5000 0.5000 (multiplicity 1)  2 Br 2.18, 4 Se 2.30

***

Below is a relaxed Sm2ScBr2N2 crystal, with properties calculated at the PBE-GGA level.

**Crystal system**: tetragonal
**D(E_F)**: 1.078 states/eV/f.u.
**Formation energy from raw total energies**: -1.525 eV/atom

a b c (Å): 4.2325 4.2325 17.4263
angles (deg): 90.00 90.00 90.00
Last column: nearest neighbours and their distance in Å.
Space group I4/mmm (No. 139)
Inequivalent atoms, fractional coordinates:
Sm 0.0000 0.0000 0.0835 (multiplicity 4)  4 N 2.57
Sc 0.0000 0.0000 0.5000 (multiplicity 2)  4 N 2.12
Br 0.0000 0.0000 0.3343 (multiplicity 4)  1 Sc 2.89
N 0.0000 0.5000 0.0000 (multiplicity 4)  2 Sc 2.12

***

Below is a relaxed ScTaBrN2 crystal, with properties calculated at the PBE-GGA level.

**Crystal system**: tetragonal
**D(E_F)**: 6.025 states/eV/f.u.
**Formation energy from raw total energies**: 2.042 eV/atom

a b c (Å): 4.2512 4.2512 4.7494
angles (deg): 90.00 90.00 90.00
Last column: nearest neighbours and their distance in Å.
Space group P4/mmm (No. 123)
Inequivalent atoms, fractional coordinates:
Sc 0.0000 0.0000 0.0000 (multiplicity 1)  4 Ta 3.01, 8 N 3.19
Ta 0.5000 0.5000 0.0000 (multiplicity 1)  2 Br 2.37
Br 0.5000 0.5000 0.5000 (multiplicity 1)  4 N 2.13, 2 Ta 2.37
N 0.0000 0.5000 0.5000 (multiplicity 2)  2 Br 2.13

***

Below is a relaxed ScTe2BrN crystal, with properties calculated at the PBE-GGA level.

**Crystal system**: tetragonal
**D(E_F)**: 3.458 states/eV/f.u.
**Formation energy from raw total energies**: 0.930 eV/atom
**Energy above the lowest structure with this stoichiometry**: 690.4 meV/atom

a b c (Å): 5.6808 5.6808 3.7824
angles (deg): 90.00 90.00 90.00
Last column: nearest neighbours and their distance in Å.
Space group P4/mmm (No. 123)
Inequivalent atoms, fractional coordinates:
Sc 0.0000 0.0000 0.0000 (multiplicity 1)  8 Te 3.41, 2 Sc 3.78
Te 0.0000 0.5000 0.5000 (multiplicity 2)  2 Br 2.84
Br 0.5000 0.5000 0.5000 (multiplicity 1)  2 N 1.89
N 0.5000 0.5000 0.0000 (multiplicity 1)  2 Br 1.89

***

Below is a relaxed ScTe2BrN crystal, with properties calculated at the PBE-GGA level.

**Crystal system**: tetragonal
**D(E_F)**: 4.695 states/eV/f.u.
**Formation energy from raw total energies**: 0.239 eV/atom
**Energy above the lowest structure with this stoichiometry**: 0.0 meV/atom

a b c (Å): 5.7514 5.7514 4.0559
angles (deg): 90.00 90.00 90.00
Last column: nearest neighbours and their distance in Å.
Space group P4/mmm (No. 123)
Inequivalent atoms, fractional coordinates:
Sc 0.0000 0.0000 0.0000 (multiplicity 1)  2 N 2.03
Te 0.0000 0.5000 0.0000 (multiplicity 2)  2 Sc 2.88
Br 0.5000 0.5000 0.5000 (multiplicity 1)  8 Te 3.52
N 0.0000 0.0000 0.5000 (multiplicity 1)  2 Sc 2.03

***

Below is a relaxed SeBr2N crystal, with properties calculated at the PBE-GGA level.

**Crystal system**: cubic
**D(E_F)**: 3.879 states/eV/f.u.
**Formation energy from raw total energies**: 1.693 eV/atom
**Energy above the lowest structure with this stoichiometry**: 421.4 meV/atom

a b c (Å): 6.9720 6.9720 6.9720
angles (deg): 90.00 90.00 90.00
Last column: nearest neighbours and their distance in Å.
Space group Fm-3m (No. 225)
Inequivalent atoms, fractional coordinates:
Se 0.0000 0.0000 0.0000 (multiplicity 4)  8 Br 3.02
Br 0.2500 0.2500 0.2500 (multiplicity 8)  4 Se 3.02, 4 N 3.02
N 0.0000 0.0000 0.5000 (multiplicity 4)  8 Br 3.02

***

Below is a relaxed Se2BrN crystal, with properties calculated at the PBE-GGA level.

**Crystal system**: trigonal
**D(E_F)**: 1.803 states/eV/f.u.
**Formation energy from raw total energies**: 1.076 eV/atom
**Energy above the lowest structure with this stoichiometry**: 582.8 meV/atom

a b c (Å): 3.4882 3.4882 23.5208
angles (deg): 90.00 90.00 120.00
Last column: nearest neighbours and their distance in Å.
Space group R-3m (No. 166, hexagonal axes)
Inequivalent atoms, fractional coordinates:
Se 0.0000 0.0000 0.1106 (multiplicity 6)  3 N 2.41, 1 Br 2.60
Br 0.0000 0.0000 0.0000 (multiplicity 3)  2 Se 2.60
N 0.0000 0.0000 0.5000 (multiplicity 3)  6 Se 2.41

***

Below is a relaxed SeBr2N crystal, with properties calculated at the PBE-GGA level.

**Crystal system**: triclinic
**D(E_F)**: 0.844 states/eV/f.u.
**Formation energy from raw total energies**: 1.303 eV/atom
**Energy above the lowest structure with this stoichiometry**: 30.9 meV/atom

a b c (Å): 4.2480 7.5103 8.8022
angles (deg): 73.54 83.32 76.31
Last column: nearest neighbours and their distance in Å.
Space group P-1 (No. 2)
Inequivalent atoms, fractional coordinates:
Se 0.0815 0.3304 0.4672 (multiplicity 2)  2 Br 2.48-2.49, 1 Se 2.68
Br 0.2812 0.8384 0.3283 (multiplicity 2)  1 Se 2.49
Br 0.4894 0.4043 0.2461 (multiplicity 2)  1 Se 2.48
N 0.1139 0.2325 0.9986 (multiplicity 2)  7 Br 3.48-3.71, 1 N 3.83

***

Below is a relaxed Se3BrN crystal, with properties calculated at the PBE-GGA level.

**Crystal system**: cubic
**D(E_F)**: 5.291 states/eV/f.u.
**Formation energy from raw total energies**: 1.127 eV/atom
**Energy above the lowest structure with this stoichiometry**: 0.0 meV/atom

a b c (Å): 4.5479 4.5479 4.5479
angles (deg): 90.00 90.00 90.00
Last column: nearest neighbours and their distance in Å.
Space group Pm-3m (No. 221)
Inequivalent atoms, fractional coordinates:
Se 0.0000 0.0000 0.5000 (multiplicity 3)  2 N 2.27
Br 0.5000 0.5000 0.5000 (multiplicity 1)  12 Se 3.22
N 0.0000 0.0000 0.0000 (multiplicity 1)  6 Se 2.27

***

Below is a relaxed Se2BrN crystal, with properties calculated at the PBE-GGA level.

**Crystal system**: trigonal
**D(E_F)**: 0.000 states/eV/f.u.
**Formation energy from raw total energies**: 0.494 eV/atom
**Energy above the lowest structure with this stoichiometry**: 0.0 meV/atom

a b c (Å): 4.4020 4.4020 22.7415
angles (deg): 90.00 90.00 120.00
Last column: nearest neighbours and their distance in Å.
Space group R-3m (No. 166, hexagonal axes)
Inequivalent atoms, fractional coordinates:
Se 0.0000 0.0000 0.0743 (multiplicity 6)  1 N 1.69
Br 0.0000 0.0000 0.5000 (multiplicity 3)  6 Se 3.30
N 0.0000 0.0000 0.0000 (multiplicity 3)  2 Se 1.69

***

Below is a relaxed Se2BrN2 crystal, with properties calculated at the PBE-GGA level.

**Crystal system**: triclinic
**D(E_F)**: 0.449 states/eV/f.u.
**Formation energy from raw total energies**: 0.823 eV/atom
**Energy above the lowest structure with this stoichiometry**: 0.0 meV/atom

a b c (Å): 2.8753 4.9929 7.7837
angles (deg): 104.58 100.52 90.03
Last column: nearest neighbours and their distance in Å.
Space group P-1 (No. 2)
Inequivalent atoms, fractional coordinates:
Se 0.1408 0.1057 0.2809 (multiplicity 2)  2 N 1.83
Br 0.5000 0.5000 0.0000 (multiplicity 1)  2 Br 2.88
N 0.2870 0.7721 0.5735 (multiplicity 2)  2 Se 1.83

***

Below is a relaxed SeBr2N2 crystal, with properties calculated at the PBE-GGA level.

**Crystal system**: triclinic
**D(E_F)**: 0.073 states/eV/f.u.
**Formation energy from raw total energies**: 0.146 eV/atom

a b c (Å): 5.8301 6.1912 6.9820
angles (deg): 71.09 73.82 88.63
Last column: nearest neighbours and their distance in Å.
Space group P1 (No. 1)
Inequivalent atoms, fractional coordinates:
Se 0.0000 0.0000 0.0000 (multiplicity 1)  2 Br 2.43
Br 0.1251 0.2547 0.6353 (multiplicity 1)  1 Se 2.43
Br 0.7201 0.8618 0.3528 (multiplicity 1)  1 Se 2.43
N 0.4185 0.4412 0.0303 (multiplicity 1)  1 N 1.11
N 0.5746 0.5705 0.9555 (multiplicity 1)  1 N 1.11